(1)
Crystalline PrEu2Sc at its relaxed geometry. Source: Alexandria via LeMat-Bulk, functional PBE.

The calculation puts the formation energy at 0.149 eV/atom. As for the polymorph energy (0 for the lowest one): 0.0000 eV per atom. As for the theoretical density: 5.890 g/cm3. The crystal system is tetragonal.

abc: 3.6287 3.6287 10.4859
angles: 90.00 90.00 90.00
With the nearest neighbours (Å) after each atom.
Space group P4/mmm (No. 123)
One atom of each set of equivalent atoms:
Pr: 0.0000 0.0000 0.0000  4 Pr 3.63, 8 Eu 3.79
Eu: 0.5000 0.5000 0.2664  4 Sc 3.55, 4 Eu 3.63, 4 Pr 3.79
Sc: 0.0000 0.0000 0.5000  8 Eu 3.55, 4 Sc 3.63

=====

(2)
Crystalline PrEu2Sc at its relaxed geometry. Source: Alexandria via LeMat-Bulk, functional PBE.

The calculation puts the formation energy at 0.193 eV/atom. As for the polymorph energy (0 for the lowest one): 0.0436 eV per atom. As for the theoretical density: 5.890 g/cm3. The crystal system is cubic.

abc: 8.2049 8.2049 8.2049
angles: 90.00 90.00 90.00
With the nearest neighbours (Å) after each atom.
Space group Fm-3m (No. 225)
One atom of each set of equivalent atoms:
Pr: 0.0000 0.0000 0.0000  8 Eu 3.55
Eu: 0.2500 0.2500 0.2500  4 Pr 3.55, 4 Sc 3.55
Sc: 0.0000 0.0000 0.5000  8 Eu 3.55